Here is Ta3TlRh after structural relaxation from Alexandria via LeMat-Bulk. Energies are from PBE.

```
Ta3TlRh
1.0
5.0065 0.0000 0.0000
0.0000 5.0065 0.0000
0.0000 0.0000 5.0065
Ta Tl Rh
3 1 1
Cartesian
0.0000 0.0000 2.5033 Ta
0.0000 2.5033 0.0000 Ta
2.5033 0.0000 0.0000 Ta
0.0000 0.0000 0.0000 Tl
2.5033 2.5033 2.5033 Rh
```

## Properties
theoretical density: 11249 kg/m³
space-group type: Pm-3m (221)
ΔE_f: 2.596 eV/atom
spin magnetization: 1.26 μB per formula unit

Here is TaTlRh2 after structural relaxation from Alexandria via LeMat-Bulk. Energies are from PBE.

```
TaTlRh2
1.0
3.1110 0.0000 0.0000
0.0000 3.9841 0.0000
0.0000 0.0000 5.6554
Ta Tl Rh
1 1 2
Cartesian
0.0000 0.0000 0.0000 Ta
1.5555 1.9921 1.8965 Tl
0.0000 0.0000 3.1507 Rh
1.5555 1.9921 4.7397 Rh
```

## Properties
theoretical density: 14004 kg/m³
space-group type: Pmm2 (25)
ΔE_f: -0.006 eV/atom
spin magnetization: 0.00 μB per formula unit

Here is TaTlRh2 after structural relaxation from Alexandria via LeMat-Bulk. Energies are from PBE.

```
TaTlRh2
1.0
-1.9516 1.9516 4.4198
1.9516 -1.9516 4.4198
1.9516 1.9516 -4.4198
Ta Tl Rh
1 1 2
Cartesian
0.0000 0.0000 0.0000 Ta
1.9516 0.0000 2.2099 Tl
0.0000 0.0000 4.4198 Rh
0.0000 1.9516 2.2099 Rh
```

## Properties
theoretical density: 14578 kg/m³
space-group type: I-4m2 (119)
ΔE_f: -0.040 eV/atom
spin magnetization: 0.00 μB per formula unit

Here is TaTlRh2 after structural relaxation from Alexandria via LeMat-Bulk. Energies are from PBE.

```
TaTlRh2
1.0
-2.0955 2.0955 3.8030
2.0955 -2.0955 3.8030
2.0955 2.0955 -3.8030
Ta Tl Rh
1 1 2
Cartesian
0.0000 0.0000 0.0000 Ta
0.0000 0.0000 3.8030 Tl
2.0955 0.0000 1.9015 Rh
0.0000 2.0955 1.9015 Rh
```

## Properties
theoretical density: 14696 kg/m³
space-group type: I4/mmm (139)
ΔE_f: -0.187 eV/atom
spin magnetization: 0.00 μB per formula unit